! FeMo2, relaxed, DFT PBE; values from VASP
&SYSTEM
  ibrav = 0, nat = 6, ntyp = 2
/
ATOMIC_SPECIES
Fe 55.84 Fe.upf
Mo 95.94 Mo.upf
CELL_PARAMETERS angstrom
-1.349 1.349 11.920
1.349 -1.349 11.920
1.349 1.349 -11.920
ATOMIC_POSITIONS crystal
Fe 0.000 0.000 0.000
Fe 0.750 0.250 0.500
Mo 0.324 0.824 0.500
Mo 0.176 0.676 0.500
Mo 0.574 0.574 0.000
Mo 0.426 0.426 0.000
! Electronic total energy = -58.20 eV/cell
! Crystal system = tetragonal
! Formation energy from the elements = 0.34 eV/atom
! Space-group type = No. 141



! Ag2BrCl, relaxed, DFT PBE; values from VASP
&SYSTEM
  ibrav = 0, nat = 4, ntyp = 3
/
ATOMIC_SPECIES
Ag 107.87 Ag.upf
Br 79.90 Br.upf
Cl 35.45 Cl.upf
CELL_PARAMETERS angstrom
-3.438 -0.005 -1.390
-0.920 -2.983 2.288
-1.981 4.223 4.885
ATOMIC_POSITIONS crystal
Ag 0.000 0.807 0.034
Ag 0.000 0.693 0.466
Br 0.500 0.250 0.250
Cl 0.500 0.750 0.750
! Electronic total energy = -10.39 eV/cell
! Crystal system = monoclinic
! Formation energy from raw total energies = -1.2 eV/f.u.
! Energy above the lowest structure with this stoichiometry = 0.098 eV/atom
! Space-group type = No. 10



! Ce5Ge2I2, relaxed, DFT PBE; values from VASP
&SYSTEM
  ibrav = 0, nat = 18, ntyp = 3
/
ATOMIC_SPECIES
I 126.90 I.upf
Ce 140.12 Ce.upf
Ge 72.64 Ge.upf
CELL_PARAMETERS angstrom
-5.015 0.708 5.589
-1.333 -8.229 -0.153
9.414 2.643 3.022
ATOMIC_POSITIONS crystal
I 0.440 0.928 0.801
I 0.560 0.127 0.199
I 0.861 0.428 0.801
I 0.139 0.627 0.199
Ce 0.701 0.699 0.665
Ce 0.944 0.245 0.500
Ce 0.244 0.649 0.863
Ce 0.536 0.534 0.335
Ce 0.119 0.149 0.863
Ce 0.881 0.286 0.137
Ce 0.299 0.034 0.335
Ce 0.464 0.199 0.665
Ce 0.756 0.786 0.137
Ce 0.056 0.745 0.500
Ge 0.284 0.434 0.500
Ge 0.716 0.934 0.500
Ge 0.500 0.433 0.000
Ge 0.000 0.933 0.000
! Electronic total energy = -93.20 eV/cell
! Crystal system = orthorhombic
! Formation energy from raw total energies = -4.6 eV/f.u.
! Space-group type = No. 46



! Nd8IrRu2, relaxed, DFT PBE; values from VASP
&SYSTEM
  ibrav = 0, nat = 11, ntyp = 3
/
ATOMIC_SPECIES
Ir 192.22 Ir.upf
Nd 144.24 Nd.upf
Ru 101.07 Ru.upf
CELL_PARAMETERS angstrom
-4.693 0.174 -4.544
4.818 1.334 -4.925
0.281 -7.771 3.169
ATOMIC_POSITIONS crystal
Ir 0.000 0.000 0.000
Nd 0.824 0.878 0.243
Nd 0.176 0.635 0.757
Nd 0.272 0.577 0.155
Nd 0.824 0.365 0.243
Nd 0.338 0.183 0.365
Nd 0.662 0.817 0.635
Nd 0.176 0.122 0.757
Nd 0.728 0.423 0.845
Ru 0.191 0.735 0.469
Ru 0.809 0.265 0.531
! Electronic total energy = -67.38 eV/cell
! Crystal system = monoclinic
! Formation energy from the elements = -0.17 eV/atom
! Energy above the lowest structure with this stoichiometry = 0.046 eV/atom
! Space-group type = No. 12



! Er2CdPd8, relaxed, DFT PBE; values from VASP
&SYSTEM
  ibrav = 0, nat = 11, ntyp = 3
/
ATOMIC_SPECIES
Er 167.26 Er.upf
Pd 106.42 Pd.upf
Cd 112.41 Cd.upf
CELL_PARAMETERS angstrom
-3.204 -1.925 -1.927
-0.584 -4.110 5.077
-2.673 6.733 2.306
ATOMIC_POSITIONS crystal
Er 0.216 0.666 0.433
Er 0.784 0.334 0.567
Pd 0.856 0.814 0.713
Pd 0.592 0.449 0.185
Pd 0.144 0.186 0.287
Pd 0.036 0.722 0.073
Pd 0.964 0.278 0.927
Pd 0.327 0.096 0.654
Pd 0.673 0.904 0.346
Pd 0.408 0.551 0.815
Cd 0.500 0.000 0.000
! Electronic total energy = -58.26 eV/cell
! Crystal system = monoclinic
! Formation energy from the elements = -0.61 eV/atom
! Space-group type = No. 12



! ZrTl2Rh, relaxed, DFT PBE; values from VASP
&SYSTEM
  ibrav = 0, nat = 4, ntyp = 3
/
ATOMIC_SPECIES
Zr 91.22 Zr.upf
Tl 204.38 Tl.upf
Rh 102.91 Rh.upf
CELL_PARAMETERS angstrom
9.436 -0.032 -0.019
8.812 3.375 -0.019
8.812 1.614 2.964
ATOMIC_POSITIONS crystal
Zr 0.485 0.485 0.485
Tl 0.246 0.246 0.246
Tl 0.010 0.010 0.010
Rh 0.759 0.759 0.759
! Electronic total energy = -20.95 eV/cell
! Crystal system = trigonal
! Formation energy from the elements = -0.08 eV/atom
! Space-group type = No. 160



! LaTl2H, relaxed, DFT PBE; values from VASP
&SYSTEM
  ibrav = 0, nat = 4, ntyp = 3
/
ATOMIC_SPECIES
Tl 204.38 Tl.upf
H 1.01 H.upf
La 138.91 La.upf
CELL_PARAMETERS angstrom
3.936 3.462 0.704
-0.490 3.871 3.570
2.866 -0.122 4.443
ATOMIC_POSITIONS crystal
Tl 0.250 0.250 0.250
Tl 0.750 0.750 0.750
H 0.000 0.000 0.000
La 0.500 0.500 0.500
! Electronic total energy = -11.76 eV/cell
! Crystal system = cubic
! Energy above the lowest structure with this stoichiometry = 0.149 eV/atom
! Space-group type = No. 225



! SrPrSmTl, relaxed, DFT PBE; values from VASP
&SYSTEM
  ibrav = 0, nat = 4, ntyp = 4
/
ATOMIC_SPECIES
Tl 204.38 Tl.upf
Sm 150.36 Sm.upf
Pr 140.91 Pr.upf
Sr 87.62 Sr.upf
CELL_PARAMETERS angstrom
5.735 0.000 0.000
2.867 4.967 0.000
2.867 1.656 4.683
ATOMIC_POSITIONS crystal
Tl 0.500 0.500 0.500
Sm 0.750 0.750 0.750
Pr 0.250 0.250 0.250
Sr 0.000 0.000 0.000
! Electronic total energy = -13.55 eV/cell
! Crystal system = cubic
! Formation energy from the elements = 0.00 eV/atom
! Space-group type = No. 216



> Number 1 is which compound?

FeMo2



What did the fifth record say?
! Er2CdPd8, relaxed, DFT PBE; values from VASP
&SYSTEM
  ibrav = 0, nat = 11, ntyp = 3
/
ATOMIC_SPECIES
Er 167.26 Er.upf
Pd 106.42 Pd.upf
Cd 112.41 Cd.upf
CELL_PARAMETERS angstrom
-3.204 -1.925 -1.927
-0.584 -4.110 5.077
-2.673 6.733 2.306
ATOMIC_POSITIONS crystal
Er 0.216 0.666 0.433
Er 0.784 0.334 0.567
Pd 0.856 0.814 0.713
Pd 0.592 0.449 0.185
Pd 0.144 0.186 0.287
Pd 0.036 0.722 0.073
Pd 0.964 0.278 0.927
Pd 0.327 0.096 0.654
Pd 0.673 0.904 0.346
Pd 0.408 0.551 0.815
Cd 0.500 0.000 0.000
! Electronic total energy = -58.26 eV/cell
! Crystal system = monoclinic
! Formation energy from the elements = -0.61 eV/atom
! Space-group type = No. 12